1.
Material: Nb2Ge2Os
Method: DFT, GGA-PBE
State: optimized geometry

Results
* energy above the lowest structure with this stoichiometry: 0.000 eV/atom
* calculated volume: 165.1 Å³ per cell

Cell: 6.288 6.288 4.176 Å, 90.00 90.00 90.00°
Sites, in units of the cell vectors:
Nb: 0.159 0.659 0.500
Nb: 0.659 0.841 0.500
Nb: 0.841 0.341 0.500
Nb: 0.341 0.159 0.500
Os: 0.000 0.000 0.000
Os: 0.500 0.500 0.000
Ge: 0.359 0.859 0.000
Ge: 0.859 0.641 0.000
Ge: 0.641 0.141 0.000
Ge: 0.141 0.359 0.000

***

2.
Material: NbGe3Os
Method: DFT, GGA-PBE
State: optimized geometry

Results
* calculated volume: 109.4 Å³ per cell
* VASP energy: -30.31 eV/f.u.

Cell: 4.783 4.783 4.783 Å, 90.00 90.00 90.00°
Each line ends with the local moment (μB).
Sites, in units of the cell vectors:
Nb: 0.500 0.500 0.500  2.37
Os: 0.000 0.000 0.000  0.41
Ge: 0.000 0.500 0.000  0.04
Ge: 0.000 0.000 0.500  0.01
Ge: 0.500 0.000 0.000  0.03

***

3.
Material: NbGeOs
Method: DFT, GGA-PBE
State: optimized geometry

Results
* calculated volume: 285.0 Å³ per cell
* VASP energy: -26.71 eV/f.u.

Cell: 6.666 7.535 7.583 Å, 119.79 116.08 90.00°
Sites, in units of the cell vectors:
Nb: 0.758 0.018 0.536
Nb: 0.222 0.982 0.464
Nb: 0.338 0.752 0.005
Nb: 0.333 0.248 0.995
Nb: 0.144 0.441 0.382
Nb: 0.761 0.559 0.618
Ge: 0.703 0.204 0.909
Ge: 0.794 0.796 0.091
Ge: 0.419 0.173 0.334
Ge: 0.086 0.827 0.666
Ge: 0.086 0.339 0.666
Ge: 0.419 0.661 0.334
Os: 0.996 0.000 0.000
Os: 0.996 0.500 0.000
Os: 0.503 0.423 0.755
Os: 0.749 0.577 0.245
Os: 0.749 0.168 0.245
Os: 0.503 0.832 0.755

***

4.
Material: NbGe2OsPd
Method: DFT, GGA-PBE
State: optimized geometry

Results
* calculated volume: 115.8 Å³ per cell
* VASP energy: -29.35 eV/f.u.

Cell: 4.933 4.759 4.933 Å, 90.00 90.00 90.00°
Each line ends with the local moment (μB).
Sites, in units of the cell vectors:
Nb: 0.000 0.000 0.000  -0.01
Os: 0.000 0.500 0.000  0.80
Ge: 0.000 0.000 0.500  -0.01
Ge: 0.500 0.000 0.000  0.01
Pd: 0.500 0.500 0.500  0.12

***

5.
Material: PrNbGe2Os
Method: DFT, GGA-PBE
State: optimized geometry

Results
* calculated volume: 98.2 Å³ per cell
* VASP energy: -37.57 eV/f.u.

Cell: 4.125 4.125 6.465 Å, 108.60 108.60 90.00°
Sites, in units of the cell vectors:
Pr: 0.000 0.000 0.000
Nb: 0.250 0.750 0.500
Ge: 0.613 0.613 0.226
Ge: 0.387 0.387 0.774
Os: 0.750 0.250 0.500

***

6.
Material: PuNbGe2Os
Method: DFT, GGA-PBE
State: optimized geometry

Results
* calculated volume: 94.3 Å³ per cell
* VASP energy: -46.42 eV/f.u.

Cell: 4.038 4.038 6.449 Å, 108.25 108.25 90.00°
Each line ends with the local moment (μB).
Sites, in units of the cell vectors:
Pu: 0.000 0.000 0.000  5.27
Nb: 0.250 0.750 0.500  0.00
Ge: 0.609 0.609 0.217  -0.02
Ge: 0.391 0.391 0.783  -0.02
Os: 0.750 0.250 0.500  -0.04

***

7.
Material: SmNbGe2Os
Method: DFT, GGA-PBE
State: optimized geometry

Results
* calculated volume: 95.9 Å³ per cell
* VASP energy: -37.54 eV/f.u.

Cell: 4.093 4.093 6.416 Å, 108.60 108.60 90.00°
Sites, in units of the cell vectors:
Sm: 0.000 0.000 0.000
Nb: 0.250 0.750 0.500
Ge: 0.611 0.611 0.222
Ge: 0.389 0.389 0.778
Os: 0.750 0.250 0.500

***

8.
Material: NbTcGeOs
Method: DFT, GGA-PBE
State: optimized geometry

Results
* calculated volume: 61.1 Å³ per cell
* VASP energy: -37.06 eV/f.u.

Cell: 4.420 4.420 4.420 Å, 60.00 60.00 60.00°
Sites, in units of the cell vectors:
Ge: 0.500 0.500 0.500
Nb: 0.000 0.000 0.000
Os: 0.250 0.250 0.250
Tc: 0.750 0.750 0.750

***

9.
Material: NbVGe2Os
Method: DFT, GGA-PBE
State: optimized geometry

Results
* calculated volume: 113.2 Å³ per cell
* VASP energy: -31.81 eV/f.u.

Cell: 4.866 4.780 4.866 Å, 90.00 90.00 90.00°
Each line ends with the local moment (μB).
Sites, in units of the cell vectors:
Nb: 0.000 0.000 0.000  -0.01
Os: 0.000 0.500 0.000  -0.51
Ge: 0.000 0.000 0.500  -0.02
Ge: 0.500 0.000 0.000  -0.01
V: 0.500 0.500 0.500  0.21

***

10.
Material: Nb8Ge2P
Method: DFT, GGA-PBE
State: optimized geometry

Results
* calculated volume: 191.1 Å³ per cell
* VASP energy: -98.32 eV/f.u.

Cell: 4.607 5.506 8.017 Å, 100.65 106.70 90.00°
Sites, in units of the cell vectors:
Nb: 0.409 0.488 0.819
Nb: 0.662 0.057 0.325
Nb: 0.773 0.661 0.546
Nb: 0.021 0.256 0.043
Nb: 0.227 0.339 0.454
Nb: 0.338 0.943 0.675
Nb: 0.591 0.512 0.181
Nb: 0.979 0.744 0.957
Ge: 0.840 0.239 0.680
Ge: 0.160 0.761 0.320
P: 0.500 0.000 0.000

***

11.
Material: Nb8GeP2
Method: DFT, GGA-PBE
State: optimized geometry

Results
* calculated volume: 192.1 Å³ per cell
* VASP energy: -100.04 eV/f.u.

Cell: 4.883 6.678 6.678 Å, 112.81 99.27 99.27°
Sites, in units of the cell vectors:
Nb: 0.895 0.917 0.676
Nb: 0.895 0.676 0.917
Nb: 0.326 0.617 0.617
Nb: 0.500 0.759 0.241
Nb: 0.500 0.241 0.759
Nb: 0.674 0.383 0.383
Nb: 0.105 0.324 0.083
Nb: 0.105 0.083 0.324
Ge: 0.500 0.000 0.000
P: 0.000 0.314 0.686
P: 0.000 0.686 0.314

***

12.
Material: NbGeP2
Method: DFT, GGA-PBE
State: optimized geometry

Results
* calculated volume: 70.3 Å³ per cell
* VASP energy: -23.19 eV/f.u.

Cell: 2.825 2.825 10.308 Å, 82.12 82.12 60.00°
Sites, in units of the cell vectors:
P: 0.085 0.085 0.746
P: 0.915 0.915 0.254
Nb: 0.000 0.000 0.000
Ge: 0.500 0.500 0.500

***

13.
Material: Nb3GeP
Method: DFT, GGA-PBE
State: optimized geometry

Results
* energy above the lowest structure with this stoichiometry: 0.000 eV/atom
* calculated volume: 191.2 Å³ per cell

Cell: 4.667 6.763 6.473 Å, 85.76 90.00 110.18°
Sites, in units of the cell vectors:
Nb: 0.031 0.062 0.247
Nb: 0.969 0.938 0.753
Nb: 0.706 0.413 0.859
Nb: 0.294 0.587 0.141
Nb: 0.814 0.629 0.474
Nb: 0.186 0.371 0.526
Ge: 0.396 0.791 0.604
Ge: 0.604 0.209 0.396
P: 0.143 0.286 0.916
P: 0.857 0.714 0.084

***

14.
Material: Nb6Ge2P
Method: DFT, GGA-PBE
State: optimized geometry

Results
* calculated volume: 318.2 Å³ per cell
* VASP energy: -78.45 eV/f.u.

Cell: 5.662 6.814 8.247 Å, 90.00 89.98 90.00°
Sites, in units of the cell vectors:
Nb: 0.897 0.995 0.210
Nb: 0.846 0.670 0.555
Nb: 0.856 0.685 0.942
Nb: 0.644 0.185 0.558
Nb: 0.654 0.170 0.945
Nb: 0.603 0.495 0.290
Nb: 0.103 0.005 0.790
Nb: 0.154 0.330 0.445
Nb: 0.144 0.315 0.058
Nb: 0.356 0.815 0.442
Nb: 0.346 0.830 0.055
Nb: 0.397 0.505 0.710
Ge: 0.951 0.379 0.754
Ge: 0.549 0.879 0.746
Ge: 0.451 0.121 0.254
Ge: 0.049 0.621 0.246
P: 0.500 0.500 0.000
P: 0.000 0.000 0.500

***

15.
Material: NbGeP2
Method: DFT, GGA-PBE
State: optimized geometry

Results
* calculated volume: 176.0 Å³ per cell
* VASP energy: -25.31 eV/f.u.

Cell: 5.781 5.781 6.667 Å, 64.31 64.31 90.00°
Sites, in units of the cell vectors:
P: 0.622 0.125 0.250
P: 0.128 0.625 0.250
P: 0.375 0.378 0.750
P: 0.875 0.872 0.750
Nb: 0.000 0.000 0.000
Nb: 0.750 0.250 0.500
Ge: 0.500 0.500 0.000
Ge: 0.250 0.750 0.500

***

16.
Material: Nb4GeP
Method: DFT, GGA-PBE
State: optimized geometry

Results
* calculated volume: 207.4 Å³ per cell
* VASP energy: -52.46 eV/f.u.

Cell: 5.871 6.344 6.895 Å, 113.15 110.70 99.05°
Sites, in units of the cell vectors:
Nb: 0.281 0.959 0.637
Nb: 0.982 0.745 0.123
Nb: 0.144 0.322 0.363
Nb: 0.358 0.622 0.877
Nb: 0.719 0.041 0.363
Nb: 0.856 0.678 0.637
Nb: 0.018 0.255 0.877
Nb: 0.642 0.378 0.123
Ge: 0.404 0.654 0.308
Ge: 0.596 0.346 0.692
P: 0.726 0.976 0.953
P: 0.274 0.024 0.047

***

17.
Material: Nb2Ge2P
Method: DFT, GGA-PBE
State: optimized geometry

Results
* calculated volume: 172.6 Å³ per cell
* VASP energy: -36.26 eV/f.u.

Cell: 6.817 6.817 3.714 Å, 90.00 90.00 90.00°
Sites, in units of the cell vectors:
P: 0.000 0.000 0.000
P: 0.500 0.500 0.000
Nb: 0.336 0.836 0.000
Nb: 0.836 0.664 0.000
Nb: 0.664 0.164 0.000
Nb: 0.164 0.336 0.000
Ge: 0.136 0.636 0.500
Ge: 0.636 0.864 0.500
Ge: 0.864 0.364 0.500
Ge: 0.364 0.136 0.500

***

18.
Material: Nb5Ge2P
Method: DFT, GGA-PBE
State: optimized geometry

Results
* calculated volume: 274.3 Å³ per cell
* VASP energy: -69.10 eV/f.u.

Cell: 3.660 7.219 10.383 Å, 90.00 90.00 90.00°
Sites, in units of the cell vectors:
Nb: 0.000 0.000 0.500
Nb: 0.000 0.500 0.000
Nb: 0.000 0.850 0.206
Nb: 0.000 0.150 0.794
Nb: 0.000 0.650 0.706
Nb: 0.000 0.350 0.294
Nb: 0.500 0.709 0.435
Nb: 0.500 0.291 0.565
Nb: 0.500 0.791 0.935
Nb: 0.500 0.209 0.065
Ge: 0.500 0.580 0.181
Ge: 0.500 0.420 0.819
Ge: 0.500 0.920 0.681
Ge: 0.500 0.080 0.319
P: 0.000 0.500 0.500
P: 0.000 0.000 0.000

***

19.
Material: Nb3GeP
Method: DFT, GGA-PBE
State: optimized geometry

Results
* energy above the lowest structure with this stoichiometry: 1.344 eV/atom
* calculated volume: 106.5 Å³ per cell

Cell: 4.741 4.741 4.741 Å, 90.00 90.00 90.00°
Sites, in units of the cell vectors:
P: 0.500 0.500 0.500
Nb: 0.000 0.500 0.000
Nb: 0.000 0.000 0.500
Nb: 0.500 0.000 0.000
Ge: 0.000 0.000 0.000

***

20.
Material: NbGePS2
Method: DFT, GGA-PBE
State: optimized geometry

Results
* energy above the lowest structure with this stoichiometry: 0.650 eV/atom
* calculated volume: 96.0 Å³ per cell

Cell: 4.555 4.555 4.628 Å, 90.00 90.00 90.00°
Sites, in units of the cell vectors:
S: 0.000 0.500 0.000
S: 0.500 0.000 0.000
P: 0.000 0.000 0.500
Nb: 0.500 0.500 0.500
Ge: 0.000 0.000 0.000